Entry from Alexandria: a relaxed structure of Zn8CdAg3 (PBE).

a = 5.167 Å, b = 5.167 Å, c = 8.352 Å
α = 90.00°, β = 90.00°, γ = 120.00°
Atoms (fractional coordinates):
Zn: 0.333 0.667 0.499
Zn: 0.673 0.837 0.247
Zn: 0.163 0.327 0.247
Zn: 0.992 0.496 0.753
Zn: 0.504 0.496 0.753
Zn: 0.504 0.008 0.753
Zn: 0.333 0.667 0.999
Zn: 0.163 0.837 0.247
Ag: 0.000 0.000 0.943
Ag: 0.667 0.333 0.434
Ag: 0.667 0.333 0.061
Cd: 0.000 0.000 0.564

Computed properties:
spin magnetization	0.0	μB per formula unit
theoretical density	8.2	g/cm³
energy	-19.653	eV/f.u.
E_form	0.001	eV/atom
D(E_F)	2.7	states/eV/f.u.
SG	P3m1